Entry 1:
A geometry-optimized CsZrRhW2 structure. Source: Alexandria, functional GGA-PBE.

It has space group P4/mmm (No. 123), with a = 4.875 Å, b = 4.875 Å, c = 5.095 Å, α = 90.00°, β = 90.00° and γ = 90.00°. The distinct sites, in fractional coordinates, are Cs at (0.000, 0.000, 0.000), Zr at (0.000, 0.000, 0.500), Rh at (0.500, 0.500, 0.500) and W at (0.000, 0.500, 0.000).

Its total energy is -5.147 eV per atom. The formation energy comes out at 3.385 eV per atom.

=====

Entry 2:
A geometry-optimized TbTh3O structure. Source: Alexandria, functional GGA-PBE.

It has space group Pm-3m (No. 221), with a = 5.083 Å, b = 5.083 Å, c = 5.083 Å, α = 90.00°, β = 90.00° and γ = 90.00°. The distinct sites, in fractional coordinates, are Tb at (0.000, 0.000, 0.000), Th at (0.000, 0.500, 0.500) and O at (0.500, 0.500, 0.500).

Its total energy is -7.440 eV per atom. The value obtained for the formation energy from raw total energies is -516 kJ/mol of formula units.

=====

Entry 3:
A geometry-optimized SmScPt structure. Source: Alexandria, functional GGA-PBE.

It has space group P3m1 (No. 156), with a = 4.5134 Å, b = 4.5134 Å, c = 4.1433 Å, α = 90.00°, β = 90.00° and γ = 120.00°. The distinct sites, in fractional coordinates, are Sm at (0.0000, 0.0000, 0.0000), Sc at (0.6667, 0.3333, 0.4893) and Pt at (0.3333, 0.6667, 0.6112).

Its energy above the most stable polymorph in this dataset is 0.66 eV/f.u. Its total energy is -6.391 eV per atom. The formation energy comes out at -0.694 eV per atom.

=====

Entry 4:
A geometry-optimized ScInOs2 structure. Source: Alexandria, functional GGA-PBE.

It has space group Imm2 (No. 44), with a = 3.134 Å, b = 4.526 Å, c = 9.676 Å, α = 90.00°, β = 90.00° and γ = 90.00°. The distinct sites, in fractional coordinates, are Sc at (0.000, 0.000, 0.000), In at (0.000, 0.500, 0.776), Os at (0.000, 0.000, 0.521) and Os at (0.000, 0.500, 0.242).

Its total energy is -7.859 eV per atom. The formation energy comes out at 0.023 eV per atom.